# 1
8
Lattice="11.4955 0.0000 0.0000 0.0000 3.4461 0.0000 -1.5277 0.0000 5.5923" Properties=species:S:1:pos:R:3 comment="CdSn2Pb | Alexandria via LeMat-Bulk | PBE-GGA | relaxed" final_energy_ev_per_atom=-3.10 e_form_ev_per_atom=0.054 rho_g_cm3=8.4 polymorph_energy_mev_per_atom=2 dos_ef_per_ev_atom=0.47 pbc="T T T"
Cd 0.0000 0.0000 0.0000
Cd 5.7477 1.7230 0.0000
Sn 2.4058 1.7230 1.3355
Sn 1.8142 0.0000 4.2568
Sn 8.1535 0.0000 1.3355
Sn 7.5619 1.7230 4.2568
Pb -0.7639 1.7230 2.7961
Pb 4.9839 0.0000 2.7961

# 2
14
Lattice="8.1895 0.0000 0.0000 0.0000 8.1895 0.0000 0.0000 0.0000 8.1895" Properties=species:S:1:pos:R:3 comment="Cd3SnPb3 | Alexandria via LeMat-Bulk | PBE-GGA | relaxed" final_energy_ev_per_atom=-1.96 e_form_ev_per_atom=0.594 rho_g_cm3=6.5 dos_ef_per_ev_atom=1.18 pbc="T T T"
Cd 0.0000 2.0474 4.0948
Cd 0.0000 6.1421 4.0948
Cd 2.0474 4.0948 0.0000
Cd 4.0948 0.0000 2.0474
Cd 4.0948 0.0000 6.1421
Cd 6.1421 4.0948 0.0000
Sn 0.0000 0.0000 0.0000
Sn 4.0948 4.0948 4.0948
Pb 0.0000 4.0948 2.0474
Pb 0.0000 4.0948 6.1421
Pb 2.0474 0.0000 4.0948
Pb 4.0948 2.0474 0.0000
Pb 4.0948 6.1421 0.0000
Pb 6.1421 0.0000 4.0948

# 3
4
Lattice="4.8768 0.0000 0.0000 0.0000 4.8768 0.0000 0.0000 0.0000 4.4692" Properties=species:S:1:pos:R:3 comment="Cd2SnPb | Alexandria via LeMat-Bulk | PBE-GGA | relaxed" final_energy_ev_per_atom=-2.33 e_form_ev_per_atom=0.057 rho_g_cm3=8.6 polymorph_energy_mev_per_atom=13 dos_ef_per_ev_atom=0.31 pbc="T T T"
Cd 0.0000 2.4384 0.0000
Cd 2.4384 0.0000 0.0000
Sn 0.0000 0.0000 2.2346
Pb 2.4384 2.4384 2.2346

# 4
10
Lattice="4.1330 0.0000 0.0000 0.0000 4.1330 0.0000 0.0000 0.0000 17.1821" Properties=species:S:1:pos:R:3 comment="Cd2SnPb2 | Alexandria via LeMat-Bulk | PBE-GGA | relaxed" final_energy_ev_per_atom=-2.54 e_form_ev_per_atom=0.114 rho_g_cm3=8.6 polymorph_energy_mev_per_atom=56 dos_ef_per_ev_atom=0.46 pbc="T T T"
Cd 0.0000 2.0665 4.2955
Cd 0.0000 2.0665 12.8866
Cd 2.0665 0.0000 4.2955
Cd 2.0665 0.0000 12.8866
Sn 0.0000 0.0000 0.0000
Sn 2.0665 2.0665 8.5911
Pb 0.0000 0.0000 6.8916
Pb 0.0000 0.0000 10.2906
Pb 2.0665 2.0665 1.6995
Pb 2.0665 2.0665 15.4827

# 5
5
Lattice="5.6530 0.0000 0.0000 0.0000 5.6530 0.0000 0.0000 0.0000 5.6530" Properties=species:S:1:pos:R:3 comment="CdSnPb3 | Alexandria via LeMat-Bulk | PBE-GGA | relaxed" final_energy_ev_per_atom=-2.72 e_form_ev_per_atom=0.489 rho_g_cm3=7.8 polymorph_energy_mev_per_atom=451 dos_ef_per_ev_atom=0.95 pbc="T T T"
Cd 0.0000 0.0000 0.0000
Sn 2.8265 2.8265 2.8265
Pb 0.0000 0.0000 2.8265
Pb 0.0000 2.8265 0.0000
Pb 2.8265 0.0000 0.0000

# 6
19
Lattice="8.5771 -5.7241 0.0000 8.5771 5.7241 0.0000 -1.3521 0.0000 5.8967" Properties=species:S:1:pos:R:3 comment="Cd2Sn5Pb12 | Alexandria via LeMat-Bulk | PBE-GGA | relaxed" final_energy_ev_per_atom=-3.43 e_form_ev_per_atom=0.066 rho_g_cm3=9.5 polymorph_energy_mev_per_atom=0 dos_ef_per_ev_atom=0.49 pbc="T T T"
Cd 8.5771 3.0180 0.0000
Cd 8.5771 -3.0180 0.0000
Sn 2.2597 0.0000 4.9298
Sn 4.5118 0.0000 2.4874
Sn 7.9010 0.0000 2.9483
Sn 11.2902 0.0000 3.4092
Sn 13.5424 0.0000 0.9668
Pb 4.1921 3.0694 4.7327
Pb 0.6944 0.0000 1.8512
Pb 6.3577 2.8632 2.1986
Pb 9.4444 2.8632 3.6981
Pb 5.5120 0.0000 5.6528
Pb 11.6100 3.0694 1.1640
Pb 4.1921 -3.0694 4.7327
Pb 10.2900 0.0000 0.2439
Pb 6.3577 -2.8632 2.1986
Pb 9.4444 -2.8632 3.6981
Pb 15.1077 0.0000 4.0455
Pb 11.6100 -3.0694 1.1640

# 7
80
Lattice="-9.0101 9.0101 9.0101 9.0101 -9.0101 9.0101 9.0101 9.0101 -9.0101" Properties=species:S:1:pos:R:3 comment="Cd5Sn3Pb12 | Alexandria via LeMat-Bulk | PBE-GGA | relaxed" final_energy_ev_per_atom=-2.86 e_form_ev_per_atom=0.193 rho_g_cm3=7.7 dos_ef_per_ev_atom=0.50 pbc="T T T"
Cd 0.0000 0.0000 0.0000
Cd 4.5050 4.5050 -4.5050
Cd 4.5050 -4.5050 4.5050
Cd 9.0101 0.0000 0.0000
Cd 13.5151 2.2525 0.0000
Cd 9.0101 -4.5050 6.7576
Cd 6.7576 9.0101 -4.5050
Cd 6.7576 0.0000 4.5050
Cd 4.5050 6.7576 0.0000
Cd 9.0101 4.5050 2.2525
Cd -4.5050 4.5050 4.5050
Cd 0.0000 9.0101 0.0000
Cd 0.0000 0.0000 9.0101
Cd 4.5050 4.5050 4.5050
Cd 0.0000 4.5050 6.7576
Cd 4.5050 2.2525 9.0101
Cd 2.2525 9.0101 4.5050
Cd 2.2525 0.0000 13.5151
Cd 0.0000 13.5151 2.2525
Cd -4.5050 6.7576 9.0101
Sn 4.5050 2.2525 0.0000
Sn 9.0101 4.5050 -2.2525
Sn 2.2525 0.0000 4.5050
Sn 11.2626 0.0000 4.5050
Sn 0.0000 4.5050 2.2525
Sn 4.5050 -2.2525 9.0101
Sn 4.5050 11.2626 0.0000
Sn 9.0101 4.5050 6.7576
Sn -2.2525 9.0101 4.5050
Sn 6.7576 9.0101 4.5050
Sn 0.0000 4.5050 11.2626
Sn 4.5050 6.7576 9.0101
Pb 2.7269 -0.1812 1.3612
Pb 10.7882 5.8662 -4.6862
Pb 8.8289 -1.3612 2.7269
Pb 13.6963 -1.7782 3.1439
Pb 11.7370 0.1812 1.3612
Pb 10.7882 -3.1439 4.6862
Pb 1.3612 2.7269 -0.1812
Pb 12.1540 4.3238 -1.7782
Pb 5.8662 4.6862 -1.7782
Pb 7.6489 2.7269 0.1812
Pb -0.1812 1.3612 2.7269
Pb 4.6862 -1.7782 5.8662
Pb 8.8289 7.6489 -2.7269
Pb 4.6862 1.7782 3.1439
Pb 7.6489 -2.7269 8.8289
Pb 5.8662 -4.6862 10.7882
Pb 3.1439 4.6862 1.7782
Pb 10.3713 6.2832 0.1812
Pb 2.7269 8.8289 -1.3612
Pb 10.7882 3.1439 4.3238
Pb 4.6862 10.7882 -3.1439
Pb 8.8289 1.3612 6.2832
Pb 1.7782 3.1439 4.6862
Pb 2.7269 0.1812 7.6489
Pb 6.2832 8.8289 1.3612
Pb 7.2319 5.8662 4.3238
Pb 0.1812 7.6489 2.7269
Pb 4.3238 -1.7782 12.1540
Pb -1.7782 5.8662 4.6862
Pb 6.2832 0.1812 10.3713
Pb -1.3612 2.7269 8.8289
Pb 5.8662 4.3238 7.2319
Pb 3.1439 13.6963 -1.7782
Pb 1.3612 11.7370 0.1812
Pb 4.3238 7.2319 5.8662
Pb 0.1812 1.3612 11.7370
Pb 4.3238 10.7882 3.1439
Pb 9.1913 7.6489 6.2832
Pb 1.3612 6.2832 8.8289
Pb 3.1439 4.3238 10.7882
Pb -3.1439 4.6862 10.7882
Pb 7.6489 6.2832 9.1913
Pb -1.7782 12.1540 4.3238
Pb -2.7269 8.8289 7.6489
Pb -4.6862 10.7882 5.8662
Pb 0.1812 10.3713 6.2832
Pb -1.7782 3.1439 13.6963
Pb 6.2832 9.1913 7.6489

# 8
12
Lattice="9.9921 0.0000 0.0000 -4.9961 8.6534 0.0000 0.0000 0.0000 3.5411" Properties=species:S:1:pos:R:3 comment="Cd9Sn2Pb | Alexandria via LeMat-Bulk | PBE-GGA | relaxed" final_energy_ev_per_atom=-1.59 e_form_ev_per_atom=0.074 rho_g_cm3=7.9 dos_ef_per_ev_atom=0.50 pbc="T T T"
Cd -2.4980 4.3267 0.0000
Cd 0.0000 2.9994 1.7705
Cd -2.3985 7.1537 1.7705
Cd 2.5976 1.4997 1.7705
Cd 4.9961 0.0000 0.0000
Cd 2.4980 4.3267 0.0000
Cd 2.3985 7.1537 1.7705
Cd 7.3945 1.4997 1.7705
Cd 4.9961 5.6540 1.7705
Sn 0.0000 5.7690 0.0000
Sn 4.9961 2.8845 0.0000
Pb 0.0000 0.0000 0.0000

# 9
12
Lattice="4.6720 -8.2102 0.0000 4.6720 8.2102 0.0000 -3.0717 0.0000 4.4090" Properties=species:S:1:pos:R:3 comment="Cd5SnPb6 | Alexandria via LeMat-Bulk | PBE-GGA | relaxed" final_energy_ev_per_atom=-2.50 e_form_ev_per_atom=0.069 rho_g_cm3=9.4 dos_ef_per_ev_atom=0.45 pbc="T T T"
Cd 0.0000 0.0000 0.0000
Cd 3.1361 5.4323 2.2045
Cd 4.6720 2.6621 0.0000
Cd 4.6720 -2.6621 0.0000
Cd 3.1361 -5.4323 2.2045
Sn 3.1361 0.0000 2.2045
Pb 1.5310 2.7802 1.0741
Pb -0.0244 0.0000 3.2674
Pb 1.5310 -2.7802 1.0741
Pb 4.7413 2.7802 3.3349
Pb 6.2966 0.0000 1.1416
Pb 4.7413 -2.7802 3.3349

# 10
80
Lattice="-8.8685 8.8685 8.8685 8.8685 -8.8685 8.8685 8.8685 8.8685 -8.8685" Properties=species:S:1:pos:R:3 comment="Cd5Sn12Pb3 | Alexandria via LeMat-Bulk | PBE-GGA | relaxed" final_energy_ev_per_atom=-2.96 e_form_ev_per_atom=0.222 rho_g_cm3=6.2 dos_ef_per_ev_atom=0.46 pbc="T T T"
Cd 0.0000 0.0000 0.0000
Cd 4.4343 4.4343 -4.4343
Cd 4.4343 -4.4343 4.4343
Cd 8.8685 0.0000 0.0000
Cd 13.3028 2.2171 0.0000
Cd 8.8685 -4.4343 6.6514
Cd 6.6514 8.8685 -4.4343
Cd 6.6514 0.0000 4.4343
Cd 4.4343 6.6514 0.0000
Cd 8.8685 4.4343 2.2171
Cd -4.4343 4.4343 4.4343
Cd 0.0000 8.8685 0.0000
Cd 0.0000 0.0000 8.8685
Cd 4.4343 4.4343 4.4343
Cd 0.0000 4.4343 6.6514
Cd 4.4343 2.2171 8.8685
Cd 2.2171 8.8685 4.4343
Cd 2.2171 0.0000 13.3028
Cd 0.0000 13.3028 2.2171
Cd -4.4343 6.6514 8.8685
Sn 2.6833 -0.1097 1.2960
Sn 10.6195 5.7302 -4.5439
Sn 8.7589 -1.2960 2.6833
Sn 13.4124 -1.7510 3.1383
Sn 11.5518 0.1097 1.2960
Sn 10.6195 -3.1383 4.5439
Sn 1.2960 2.6833 -0.1097
Sn 12.0068 4.3246 -1.7510
Sn 5.7302 4.5439 -1.7510
Sn 7.5726 2.6833 0.1097
Sn -0.1097 1.2960 2.6833
Sn 4.5439 -1.7510 5.7302
Sn 8.7589 7.5726 -2.6833
Sn 4.5439 1.7510 3.1383
Sn 7.5726 -2.6833 8.7589
Sn 5.7302 -4.5439 10.6195
Sn 3.1383 4.5439 1.7510
Sn 10.1645 6.1852 0.1097
Sn 2.6833 8.7589 -1.2960
Sn 10.6195 3.1383 4.3246
Sn 4.5439 10.6195 -3.1383
Sn 8.7589 1.2960 6.1852
Sn 1.7510 3.1383 4.5439
Sn 2.6833 0.1097 7.5726
Sn 6.1852 8.7589 1.2960
Sn 7.1175 5.7302 4.3246
Sn 0.1097 7.5726 2.6833
Sn 4.3246 -1.7510 12.0068
Sn -1.7510 5.7302 4.5439
Sn 6.1852 0.1097 10.1645
Sn -1.2960 2.6833 8.7589
Sn 5.7302 4.3246 7.1175
Sn 3.1383 13.4124 -1.7510
Sn 1.2960 11.5518 0.1097
Sn 4.3246 7.1175 5.7302
Sn 0.1097 1.2960 11.5518
Sn 4.3246 10.6195 3.1383
Sn 8.9782 7.5726 6.1852
Sn 1.2960 6.1852 8.7589
Sn 3.1383 4.3246 10.6195
Sn -3.1383 4.5439 10.6195
Sn 7.5726 6.1852 8.9782
Sn -1.7510 12.0068 4.3246
Sn -2.6833 8.7589 7.5726
Sn -4.5439 10.6195 5.7302
Sn 0.1097 10.1645 6.1852
Sn -1.7510 3.1383 13.4124
Sn 6.1852 8.9782 7.5726
Pb 4.4343 2.2171 0.0000
Pb 8.8685 4.4343 -2.2171
Pb 2.2171 0.0000 4.4343
Pb 11.0857 0.0000 4.4343
Pb 0.0000 4.4343 2.2171
Pb 4.4343 -2.2171 8.8685
Pb 4.4343 11.0857 0.0000
Pb 8.8685 4.4343 6.6514
Pb -2.2171 8.8685 4.4343
Pb 6.6514 8.8685 4.4343
Pb 0.0000 4.4343 11.0857
Pb 4.4343 6.6514 8.8685

# 11
10
Lattice="3.4735 0.0000 0.0000 0.0000 3.4735 0.0000 0.0000 0.0000 24.2125" Properties=species:S:1:pos:R:3 comment="CdSn4Pb5 | Alexandria via LeMat-Bulk | PBE-GGA | relaxed" final_energy_ev_per_atom=-3.51 e_form_ev_per_atom=0.038 rho_g_cm3=9.2 dos_ef_per_ev_atom=0.50 pbc="T T T"
Cd 0.0000 0.0000 0.0000
Sn 0.0000 0.0000 4.7473
Sn 0.0000 0.0000 9.6656
Sn 0.0000 0.0000 14.5469
Sn 0.0000 0.0000 19.4651
Pb 1.7368 1.7368 2.2943
Pb 1.7368 1.7368 7.2193
Pb 1.7368 1.7368 12.1062
Pb 1.7368 1.7368 16.9932
Pb 1.7368 1.7368 21.9182

# 12
9
Lattice="7.2441 -2.3927 0.0000 7.2441 2.3927 0.0000 -2.4742 0.0000 7.5565" Properties=species:S:1:pos:R:3 comment="Cd2Sn2Pb5 | Alexandria via LeMat-Bulk | PBE-GGA | relaxed" final_energy_ev_per_atom=-3.11 e_form_ev_per_atom=0.038 rho_g_cm3=9.5 polymorph_energy_mev_per_atom=0 dos_ef_per_ev_atom=0.44 pbc="T T T"
Cd 2.4142 0.0000 2.5193
Cd 9.5998 0.0000 5.0373
Sn 2.3089 0.0000 7.4793
Sn 9.7051 0.0000 0.0773
Pb 0.0000 0.0000 0.0000
Pb 0.0329 0.0000 5.1180
Pb 4.6358 0.0000 5.0000
Pb 7.3782 0.0000 2.5565
Pb 11.9811 0.0000 2.4385